1.
# LiCeAs2Pd5

A relaxed LiCeAs2Pd5 crystal (GGA-PBE, Alexandria via LeMat-Bulk).

Cell lengths 4.2082, 4.2082, 9.3333 Å; angles 90.00, 90.00, 90.00 degrees
Atoms (fractional coordinates):
Li1 0.0000 0.0000 0.0000
Ce1 0.0000 0.0000 0.5000
As1 0.5000 0.5000 0.1326
As2 0.5000 0.5000 0.8674
Pd1 0.0000 0.5000 0.2767
Pd2 0.0000 0.5000 0.7233
Pd3 0.5000 0.0000 0.2767
Pd4 0.5000 0.0000 0.7233
Pd5 0.5000 0.5000 0.5000

=====

2.
# LiCe2PrAs4

A relaxed LiCe2PrAs4 crystal (GGA-PBE, Alexandria via LeMat-Bulk).

Cell lengths 7.2208, 4.2545, 7.2912 Å; angles 90.00, 109.54, 90.00 degrees
Atoms (fractional coordinates):
Li1 0.0000 0.0000 0.0000
Ce1 0.5000 0.0000 0.5000
Ce2 0.5000 0.5000 0.0000
Pr1 0.0000 0.5000 0.5000
As1 0.2603 0.0000 0.7548
As2 0.2666 0.5000 0.2552
As3 0.7334 0.5000 0.7448
As4 0.7397 0.0000 0.2452

=====

3.
# LiCe2As3Pt4

A relaxed LiCe2As3Pt4 crystal (GGA-PBE, Alexandria via LeMat-Bulk).

Cell lengths 4.2823, 4.2823, 10.3717 Å; angles 90.00, 90.00, 90.00 degrees
Atoms (fractional coordinates):
Li1 0.0000 0.0000 0.0000
Ce1 0.0000 0.5000 0.7443
Ce2 0.5000 0.0000 0.2557
As1 0.0000 0.5000 0.3632
As2 0.5000 0.0000 0.6368
As3 0.5000 0.5000 0.0000
Pt1 0.0000 0.0000 0.5000
Pt2 0.0000 0.5000 0.1277
Pt3 0.5000 0.0000 0.8723
Pt4 0.5000 0.5000 0.5000

=====

4.
# LiCe2PuAs4

A relaxed LiCe2PuAs4 crystal (GGA-PBE, Alexandria via LeMat-Bulk).

Cell lengths 7.0707, 4.2227, 7.1976 Å; angles 90.00, 109.81, 90.00 degrees
Atoms (fractional coordinates):
Li1 0.0000 0.0000 0.0000
Ce1 0.5000 0.0000 0.5000
Ce2 0.5000 0.5000 0.0000
Pu1 0.0000 0.5000 0.5000
As1 0.2479 0.0000 0.7478
As2 0.2538 0.5000 0.2553
As3 0.7462 0.5000 0.7447
As4 0.7521 0.0000 0.2522

=====

5.
# LiCe2As4Rh3

A relaxed LiCe2As4Rh3 crystal (GGA-PBE, Alexandria via LeMat-Bulk).

Cell lengths 4.3314, 4.3314, 9.8500 Å; angles 90.00, 90.00, 90.00 degrees
Atoms (fractional coordinates):
Li1 0.0000 0.0000 0.0000
Ce1 0.0000 0.5000 0.7473
Ce2 0.5000 0.0000 0.2527
As1 0.0000 0.0000 0.5000
As2 0.0000 0.5000 0.1342
As3 0.5000 0.0000 0.8658
As4 0.5000 0.5000 0.5000
Rh1 0.0000 0.5000 0.3825
Rh2 0.5000 0.0000 0.6175
Rh3 0.5000 0.5000 0.0000

=====

6.
# LiCeAs2Rh5

A relaxed LiCeAs2Rh5 crystal (GGA-PBE, Alexandria via LeMat-Bulk).

Cell lengths 4.1224, 4.1224, 9.0786 Å; angles 90.00, 90.00, 90.00 degrees
Atoms (fractional coordinates):
Li1 0.0000 0.0000 0.0000
Ce1 0.0000 0.0000 0.5000
As1 0.5000 0.5000 0.1380
As2 0.5000 0.5000 0.8620
Rh1 0.0000 0.5000 0.2712
Rh2 0.0000 0.5000 0.7288
Rh3 0.5000 0.0000 0.2712
Rh4 0.5000 0.0000 0.7288
Rh5 0.5000 0.5000 0.5000

=====

7.
# LiCe2As3Rh4

A relaxed LiCe2As3Rh4 crystal (GGA-PBE, Alexandria via LeMat-Bulk).

Cell lengths 4.0377, 4.0377, 10.8948 Å; angles 90.00, 90.00, 90.00 degrees
Atoms (fractional coordinates):
Li1 0.0000 0.0000 0.0000
Ce1 0.0000 0.5000 0.7558
Ce2 0.5000 0.0000 0.2442
As1 0.0000 0.5000 0.3671
As2 0.5000 0.0000 0.6329
As3 0.5000 0.5000 0.0000
Rh1 0.0000 0.0000 0.5000
Rh2 0.0000 0.5000 0.1460
Rh3 0.5000 0.0000 0.8540
Rh4 0.5000 0.5000 0.5000

=====

8.
# Li2CeAsS4

A relaxed Li2CeAsS4 crystal (GGA-PBE, Alexandria via LeMat-Bulk).

Summary:
ΔE_f (raw): -1.10 eV/atom

Cell lengths 7.6997, 7.6997, 7.6997 Å; angles 120.83, 118.11, 90.93 degrees
Atoms (fractional coordinates):
Li1 0.0000 0.0000 0.0000
Li2 0.5000 0.0000 0.0000
Li3 0.5000 0.0000 0.5000
Li4 0.5000 0.5000 0.5000
Ce1 0.0000 0.5000 0.5000
Ce2 0.5000 0.5000 0.0000
As1 0.0000 0.0000 0.5000
As2 0.0000 0.5000 0.0000
S1 0.2250 0.2425 0.9825
S2 0.2401 0.7575 0.4825
S3 0.2461 0.2379 0.4917
S4 0.2461 0.7544 0.0083
S5 0.7539 0.2456 0.9917
S6 0.7539 0.7621 0.5083
S7 0.7599 0.2425 0.5175
S8 0.7750 0.7575 0.0175

=====

E? In order: -0.19805 -0.21232 -0.22303 -0.25159 -0.23382 -0.24230 -0.24344 -0.18264 Ha/atom.
Total moment? In order: 0.44 0.26 1.36 5.17 0.69 0.00 0.54 1.86 μB per cell.